This record from the Alexandria database describes crystalline ZrSiTeN2 at its relaxed geometry. The functional is PBE.

abc: 3.870 3.870 5.157
angles: 90.00 90.00 90.00
Sites, in units of the cell vectors:
1 Zr 0.000 0.000 0.000
2 Si 0.500 0.500 0.500
3 Te 0.500 0.500 0.000
4 N 0.000 0.500 0.500
5 N 0.500 0.000 0.500

Output
Energy above the most stable polymorph in this dataset = 3.66 kJ/mol of atoms
Symmetry = No. 123


This record from the Alexandria database describes crystalline ZrSiTe2N at its relaxed geometry. The functional is PBE.

abc: 5.749 5.749 4.009
angles: 90.00 90.00 90.00
Sites, in units of the cell vectors:
1 Zr 0.000 0.000 0.000
2 Si 0.500 0.500 0.500
3 Te 0.000 0.500 0.000
4 Te 0.500 0.000 0.000
5 N 0.000 0.000 0.500

Output
Energy above the most stable polymorph in this dataset = 21.36 kJ/mol of atoms
Symmetry = No. 123


This record from the Alexandria database describes crystalline ZrSiTeN2 at its relaxed geometry. The functional is PBE.

abc: 4.158 4.158 6.038
angles: 90.00 90.00 90.00
Sites, in units of the cell vectors:
1 Zr 0.000 0.000 0.000
2 Si 0.500 0.500 0.500
3 Te 0.000 0.000 0.500
4 N 0.000 0.500 0.000
5 N 0.500 0.000 0.000

Output
Energy above the most stable polymorph in this dataset = 0.00 kJ/mol of atoms
Symmetry = No. 123


This record from the Alexandria database describes crystalline ZrSiTe2N at its relaxed geometry. The functional is PBE.

abc: 5.584 5.584 3.322
angles: 90.00 90.00 90.00
Sites, in units of the cell vectors:
1 Zr 0.000 0.000 0.000
2 Si 0.500 0.500 0.500
3 Te 0.000 0.500 0.500
4 Te 0.500 0.000 0.500
5 N 0.500 0.500 0.000

Output
Energy above the most stable polymorph in this dataset = 0.00 kJ/mol of atoms
Symmetry = No. 123


This record from the Alexandria database describes crystalline ThSi4N7 at its relaxed geometry. The functional is PBE.

abc: 12.153 5.062 4.781
angles: 90.00 90.00 90.00
Sites, in units of the cell vectors:
1 Th 0.000 0.120 0.000
2 Th 0.500 0.880 0.500
3 Si 0.122 0.668 0.442
4 Si 0.248 0.171 0.427
5 Si 0.252 0.829 0.927
6 Si 0.378 0.332 0.942
7 Si 0.622 0.332 0.942
8 Si 0.748 0.829 0.927
9 Si 0.752 0.171 0.427
10 Si 0.878 0.668 0.442
11 N 0.000 0.801 0.323
12 N 0.125 0.744 0.793
13 N 0.129 0.340 0.348
14 N 0.229 0.853 0.287
15 N 0.271 0.147 0.787
16 N 0.371 0.660 0.848
17 N 0.375 0.256 0.293
18 N 0.500 0.199 0.823
19 N 0.625 0.256 0.293
20 N 0.629 0.660 0.848
21 N 0.729 0.147 0.787
22 N 0.771 0.853 0.287
23 N 0.871 0.340 0.348
24 N 0.875 0.744 0.793

Output
Symmetry = No. 31


This record from the Alexandria database describes crystalline Th3SiN at its relaxed geometry. The functional is PBE.

abc: 7.558 3.886 8.243
angles: 90.00 96.46 90.00
Sites, in units of the cell vectors:
1 Th 0.069 0.250 0.330
2 Th 0.280 0.250 0.942
3 Th 0.377 0.750 0.619
4 Th 0.623 0.250 0.381
5 Th 0.720 0.750 0.058
6 Th 0.931 0.750 0.670
7 Si 0.358 0.750 0.223
8 Si 0.642 0.250 0.777
9 N 0.142 0.250 0.633
10 N 0.858 0.750 0.367

Output
Symmetry = No. 11


Record-wise formation energy from raw total energies values, in meV/atom: 636, 327, 598, 105, -978, -791